1.
## TlZnP (PBE)

Data for a geometry-optimized TlZnP structure.

abc: 4.0289 4.0289 8.1719
angles: 90.00 90.00 90.00
Last column: nearest neighbours and their distance in Å.
Sites, in units of the cell vectors:
Tl 0.2500 0.2500 0.1415  4 P 3.20, 4 Zn 3.56
Tl 0.7500 0.7500 0.8585  4 P 3.20, 4 Zn 3.56
Zn 0.2500 0.7500 0.5000  4 P 2.50
Zn 0.7500 0.2500 0.5000  4 P 2.50
P 0.2500 0.2500 0.6812  4 Zn 2.50
P 0.7500 0.7500 0.3188  4 Zn 2.50

For the density, the calculation gives 7.53 g/cm3. The final energy comes out at -3.07 eV/atom.

2.
## TbY2Tl3PtAu2 (PBE)

Data for a geometry-optimized TbY2Tl3PtAu2 structure.

abc: 3.9207 7.8320 7.8320
angles: 120.01 90.00 90.00
Last column: nearest neighbours and their distance in Å.
Sites, in units of the cell vectors:
Tb 0.0000 0.0000 0.0000  4 Au 3.09, 1 Pt 3.12, 6 Tl 3.31-3.38
Y 0.0000 0.3983 0.7963  4 Au 3.10, 1 Pt 3.12, 6 Tl 3.31-3.37
Y 0.0000 0.7963 0.3983  4 Au 3.10, 1 Pt 3.12, 6 Tl 3.31-3.37
Tl 0.5000 0.1364 0.3987  2 Pt 2.84, 2 Au 2.93
Tl 0.5000 0.3987 0.1364  2 Pt 2.84, 2 Au 2.93
Tl 0.5000 0.6601 0.6601  2 Pt 2.84, 2 Au 2.93
Pt 0.0000 0.3980 0.3980  6 Tl 2.84, 1 Tb 3.12, 2 Y 3.12
Au 0.5000 0.0651 0.7320  3 Tl 2.93, 2 Tb 3.09, 4 Y 3.10
Au 0.5000 0.7320 0.0651  3 Tl 2.93, 2 Tb 3.09, 4 Y 3.10

For the density, the calculation gives 12.27 g/cm3. The final energy comes out at -4.79 eV/atom.

3.
## LiSiTcTe (PBE)

Data for a geometry-optimized LiSiTcTe structure.

abc: 4.4857 4.4857 4.4857
angles: 60.00 60.00 60.00
Last column: nearest neighbours and their distance in Å.
Sites, in units of the cell vectors:
Li 0.0000 0.0000 0.0000  4 Te 2.75, 4 Si 2.75
Si 0.7500 0.7500 0.7500  4 Li 2.75, 4 Tc 2.75
Tc 0.5000 0.5000 0.5000  4 Te 2.75, 4 Si 2.75
Te 0.2500 0.2500 0.2500  4 Tc 2.75, 4 Li 2.75

For the density, the calculation gives 6.78 g/cm3. The final energy comes out at -5.21 eV/atom.

4.
## DyBiN2O (PBE)

Data for a geometry-optimized DyBiN2O structure.

abc: 5.7331 5.8167 6.0600
angles: 61.63 62.84 60.50
Last column: nearest neighbours and their distance in Å.
Sites, in units of the cell vectors:
Dy 0.0000 0.0000 0.0000  2 O 2.23-2.44, 4 N 2.29-2.45
Dy 0.2778 0.2752 0.1774  2 O 2.23-2.35, 4 N 2.30-2.45
Bi 0.5054 0.4678 0.5270  4 N 2.17-2.25, 1 O 2.30
Bi 0.7826 0.7863 0.6514  4 N 2.18-2.28, 2 O 2.22-2.34
N 0.1788 0.6055 0.3569  2 Bi 2.17-2.28, 1 Dy 2.35
N 0.4074 0.0868 0.8356  2 Bi 2.21-2.25, 2 Dy 2.29-2.45
N 0.6665 0.4175 0.8262  2 Bi 2.18-2.23, 1 Dy 2.34
N 0.8749 0.1780 0.3423  2 Bi 2.17-2.28, 2 Dy 2.30-2.42
O 0.0770 0.6703 0.8595  1 Bi 2.22, 2 Dy 2.23-2.35
O 0.5977 0.8738 0.3344  2 Dy 2.23-2.44, 2 Bi 2.30-2.34

For the density, the calculation gives 9.32 g/cm3. The final energy comes out at -6.70 eV/atom.

5.
## K2LaTa5O15 (PBE)

Data for a geometry-optimized K2LaTa5O15 structure.

abc: 12.5985 12.5985 3.9269
angles: 90.00 90.00 90.00
Last column: nearest neighbours and their distance in Å.
Sites, in units of the cell vectors:
K 0.1696 0.3304 0.0000  7 O 2.81-3.02
K 0.3304 0.8304 0.0000  7 O 2.81-3.02
K 0.6696 0.1696 0.0000  7 O 2.81-3.02
K 0.8304 0.6696 0.0000  7 O 2.81-3.02
La 0.0000 0.0000 0.0000  12 O 2.63-2.70
La 0.5000 0.5000 0.0000  12 O 2.63-2.70
Ta 0.0000 0.5000 0.5000  6 O 1.96-1.98
Ta 0.0768 0.7861 0.5000  6 O 1.91-2.05
Ta 0.2139 0.0768 0.5000  6 O 1.91-2.05
Ta 0.2861 0.5768 0.5000  6 O 1.91-2.05
Ta 0.4232 0.2861 0.5000  6 O 1.91-2.05
Ta 0.5000 0.0000 0.5000  6 O 1.96-1.98
Ta 0.5768 0.7139 0.5000  6 O 1.91-2.05
Ta 0.7139 0.4232 0.5000  6 O 1.91-2.05
Ta 0.7861 0.9232 0.5000  6 O 1.91-2.05
Ta 0.9232 0.2139 0.5000  6 O 1.91-2.05
O 0.0000 0.5000 0.0000  2 Ta 1.96
O 0.0029 0.3425 0.5000  2 Ta 1.91-1.98
O 0.0615 0.1331 0.5000  2 Ta 2.02-2.05
O 0.0776 0.8059 0.0000  2 Ta 1.98
O 0.1331 0.9385 0.5000  2 Ta 2.02-2.05
O 0.1575 0.4971 0.5000  2 Ta 1.91-1.98
O 0.1941 0.0776 0.0000  2 Ta 1.98
O 0.2173 0.7173 0.5000  2 Ta 1.97
O 0.2827 0.2173 0.5000  2 Ta 1.97
O 0.3059 0.5776 0.0000  2 Ta 1.98
O 0.3425 0.9971 0.5000  2 Ta 1.91-1.98
O 0.3669 0.4385 0.5000  2 Ta 2.02-2.05
O 0.4224 0.3059 0.0000  2 Ta 1.98
O 0.4385 0.6331 0.5000  2 Ta 2.02-2.05
O 0.4971 0.8425 0.5000  2 Ta 1.91-1.98
O 0.5000 0.0000 0.0000  2 Ta 1.96
O 0.5029 0.1575 0.5000  2 Ta 1.91-1.98
O 0.5615 0.3669 0.5000  2 Ta 2.02-2.05
O 0.5776 0.6941 0.0000  2 Ta 1.98
O 0.6331 0.5615 0.5000  2 Ta 2.02-2.05
O 0.6575 0.0029 0.5000  2 Ta 1.91-1.98
O 0.6941 0.4224 0.0000  2 Ta 1.98
O 0.7173 0.7827 0.5000  2 Ta 1.97
O 0.7827 0.2827 0.5000  2 Ta 1.97
O 0.8059 0.9224 0.0000  2 Ta 1.98
O 0.8425 0.5029 0.5000  2 Ta 1.91-1.98
O 0.8669 0.0615 0.5000  2 Ta 2.02-2.05
O 0.9224 0.1941 0.0000  2 Ta 1.98
O 0.9385 0.8669 0.5000  2 Ta 2.02-2.05
O 0.9971 0.6575 0.5000  2 Ta 1.91-1.98

For the density, the calculation gives 7.26 g/cm3. The final energy comes out at -9.03 eV/atom.

6.
## GdTmGa2 (PBE)

Data for a geometry-optimized GdTmGa2 structure.

abc: 4.9593 6.6320 6.6320
angles: 58.29 90.00 90.00
Last column: nearest neighbours and their distance in Å.
Sites, in units of the cell vectors:
Gd 0.0000 0.0000 0.0000  8 Ga 3.16-3.23, 4 Tm 3.30-3.34
Gd 0.5000 0.3584 0.3584  8 Ga 3.04-3.39, 4 Tm 3.31
Tm 0.0000 0.5097 0.9753  5 Ga 2.96-3.09, 1 Tm 3.01, 3 Gd 3.30-3.31
Tm 0.0000 0.9753 0.5097  5 Ga 2.96-3.09, 1 Tm 3.01, 3 Gd 3.30-3.31
Ga 0.0000 0.5097 0.5097  4 Gd 3.04-3.23, 2 Tm 3.09, 4 Ga 3.14
Ga 0.5000 0.3561 0.8488  2 Tm 2.96, 5 Ga 3.09-3.28, 3 Gd 3.20-3.24
Ga 0.5000 0.8309 0.8309  4 Tm 3.08, 2 Ga 3.09, 4 Gd 3.16-3.25
Ga 0.5000 0.8488 0.3561  2 Tm 2.96, 5 Ga 3.09-3.28, 3 Gd 3.20-3.24

For the density, the calculation gives 8.33 g/cm3. The final energy comes out at -4.15 eV/atom.